No. 1
Material: Hf2NbSb
Method: DFT, PBE
State: optimized geometry

Values from the calculation:
Uncorrected energy: -8.50 eV per atom
Space group: R3m, No. 160

Cell: 3.2704 3.2704 9.6027 Å, 80.20 80.20 60.00°
With the nearest neighbours (Å) after each atom.
Element x y z (fractional)
1 Sb 0.6670 0.6670 0.9990  6 Hf 3.06-3.09, 6 Sb 3.27
2 Nb 0.5003 0.5003 0.4991  6 Hf 2.95-2.98, 6 Nb 3.27
3 Hf 0.0855 0.0855 0.7435  3 Nb 2.98, 3 Sb 3.06, 6 Hf 3.27
4 Hf 0.2472 0.2472 0.2585  3 Nb 2.95, 3 Sb 3.09, 6 Hf 3.27

=====

No. 2
Material: CaMoCl2
Method: DFT, PBE
State: optimized geometry

Values from the calculation:
Uncorrected energy: -4.43 eV per atom
Space group: P4/mmm, No. 123

Cell: 3.3997 3.3997 10.5953 Å, 90.00 90.00 90.00°
With the nearest neighbours (Å) after each atom.
Element x y z (fractional)
1 Mo 0.5000 0.5000 0.2500  4 Mo 3.40
2 Ca 0.5000 0.5000 0.7500  8 Cl 2.87
3 Cl 0.0000 0.0000 0.8986  4 Ca 2.87, 1 Cl 3.15
4 Cl 0.0000 0.0000 0.6014  4 Ca 2.87, 1 Cl 3.15

=====

No. 3
Material: SmEr2Hf
Method: DFT, PBE
State: optimized geometry

Values from the calculation:
Uncorrected energy: -5.73 eV per atom
Space group: P4/mmm, No. 123
ΔE_f: 0.88 eV/f.u.

Cell: 3.9539 3.9539 7.4591 Å, 90.00 90.00 90.00°
With the nearest neighbours (Å) after each atom.
Element x y z (fractional)
1 Sm 0.5000 0.5000 0.5000  8 Er 3.50, 2 Hf 3.73
2 Hf 0.5000 0.5000 0.0000  8 Er 3.23
3 Er 0.0000 0.0000 0.2171  4 Hf 3.23, 1 Er 3.24, 4 Sm 3.50
4 Er 0.0000 0.0000 0.7829  4 Hf 3.23, 1 Er 3.24, 4 Sm 3.50

=====

No. 4
Material: KGa6Cu
Method: DFT, PBE
State: optimized geometry

Values from the calculation:
Uncorrected energy: -3.05 eV per atom
Space group: P4/mmm, No. 123
ΔE_f: -1.06 eV/f.u.

Cell: 4.4701 4.4701 8.1094 Å, 90.00 90.00 90.00°
With the nearest neighbours (Å) after each atom.
Element x y z (fractional)
1 Ga 0.5000 0.0000 0.3356  2 Cu 2.60, 3 Ga 2.65-2.67
2 Ga 0.0000 0.5000 0.3356  2 Cu 2.60, 3 Ga 2.65-2.67
3 K 0.0000 0.0000 0.0000  16 Ga 3.42-3.52
4 Ga 0.5000 0.5000 0.1595  5 Ga 2.59-2.65
5 Ga 0.5000 0.0000 0.6644  2 Cu 2.60, 3 Ga 2.65-2.67
6 Ga 0.0000 0.5000 0.6644  2 Cu 2.60, 3 Ga 2.65-2.67
7 Ga 0.5000 0.5000 0.8405  5 Ga 2.59-2.65
8 Cu 0.0000 0.0000 0.5000  8 Ga 2.60

=====

No. 5
Material: LiRuCl2
Method: DFT, PBE
State: optimized geometry

Values from the calculation:
Uncorrected energy: -3.92 eV per atom
Space group: Fm-3m, No. 225

Cell: 4.5949 4.5949 4.5949 Å, 60.00 60.00 60.00°
With the nearest neighbours (Å) after each atom.
Element x y z (fractional)
1 Ru 0.5000 0.5000 0.5000  8 Cl 2.81
2 Cl 0.7500 0.7500 0.7500  4 Ru 2.81, 4 Li 2.81
3 Cl 0.2500 0.2500 0.2500  4 Li 2.81, 4 Ru 2.81
4 Li 0.0000 0.0000 0.0000  8 Cl 2.81

=====

No. 6
Material: Sr2NpInS5
Method: DFT, PBE
State: optimized geometry

Values from the calculation:
Uncorrected energy: -5.87 eV per atom
Space group: Cmc2_1, No. 36

Cell: 4.0771 8.9741 12.6848 Å, 90.00 90.00 103.13°
With the nearest neighbours (Å) after each atom.
Element x y z (fractional)
1 S 0.6893 0.3787 0.8648  2 Np 2.76
2 S 0.5050 0.0099 0.2720  1 In 2.43
3 Sr 0.1359 0.2717 0.3014  8 S 3.07-3.34
4 S 0.3693 0.7385 0.0045  1 In 2.65, 1 Np 2.75
5 In 0.4825 0.9650 0.4610  4 S 2.43-2.65
6 Sr 0.8843 0.7685 0.1942  8 S 3.05-3.40
7 S 0.9459 0.8918 0.5632  2 In 2.50
8 Sr 0.1157 0.2315 0.6942  8 S 3.05-3.40
9 Np 0.2120 0.4239 0.0081  6 S 2.75-2.85
10 S 0.6307 0.2615 0.5045  1 In 2.65, 1 Np 2.75
11 S 0.4950 0.9901 0.7720  1 In 2.43
12 S 0.7123 0.4245 0.1548  2 Np 2.76, 3 Sr 3.05-3.07
13 S 0.0541 0.1082 0.0632  2 In 2.50
14 Sr 0.8641 0.7283 0.8014  8 S 3.07-3.34
15 S 0.3107 0.6213 0.3648  2 Np 2.76
16 S 0.2877 0.5755 0.6548  2 Np 2.76, 3 Sr 3.05-3.07
17 In 0.5175 0.0350 0.9610  4 S 2.43-2.65
18 Np 0.7880 0.5761 0.5081  6 S 2.75-2.85

=====

No. 7
Material: Ta2TcSbPb
Method: DFT, PBE
State: optimized geometry

Values from the calculation:
Uncorrected energy: -5.75 eV per atom
Space group: P4/mmm, No. 123

Cell: 5.1811 5.5158 5.1811 Å, 90.00 90.00 90.00°
With the nearest neighbours (Å) after each atom.
Element x y z (fractional)
1 Pb 0.0000 0.0000 0.0000  4 Ta 2.59, 2 Sb 2.76
2 Sb 0.0000 0.5000 0.0000  2 Pb 2.76
3 Tc 0.5000 0.5000 0.5000  4 Sb 3.66, 8 Ta 3.78
4 Ta 0.5000 0.0000 0.0000  2 Pb 2.59
5 Ta 0.0000 0.0000 0.5000  2 Pb 2.59

=====

No. 8
Material: Tl3In5Hg12
Method: DFT, PBE
State: optimized geometry

Values from the calculation:
Uncorrected energy: -1.08 eV per atom
Space group: Ia-3d, No. 230
ΔE_f: 2.81 eV/f.u.

Cell: 15.1889 15.1889 15.1889 Å, 109.47 109.47 109.47°
With the nearest neighbours (Å) after each atom.
Element x y z (fractional)
1 Hg 0.8300 0.9250 0.0589  2 In 2.88-3.00, 1 Tl 3.09
2 Hg 0.0951 0.9250 0.3662  2 In 2.88-3.00, 1 Tl 3.09
3 Hg 0.9049 0.0750 0.6338  2 In 2.88-3.00, 1 Tl 3.09
4 Hg 0.2289 0.5589 0.6338  2 In 2.88-3.00, 1 Tl 3.09
5 Hg 0.7711 0.3300 0.9049  2 In 2.88-3.00, 1 Tl 3.09
6 Hg 0.3300 0.5589 0.4250  2 In 2.88-3.00, 1 Tl 3.09
7 Hg 0.4411 0.6700 0.0750  2 In 2.88-3.00, 1 Tl 3.09
8 Hg 0.0750 0.9049 0.1338  2 In 2.88-3.00, 1 Tl 3.09
9 Hg 0.1338 0.7289 0.5589  2 In 2.88-3.00, 1 Tl 3.09
10 Hg 0.5589 0.2289 0.1338  2 In 2.88-3.00, 1 Tl 3.09
11 Hg 0.3662 0.9411 0.7711  2 In 2.88-3.00, 1 Tl 3.09
12 Hg 0.8662 0.5951 0.9250  2 In 2.88-3.00, 1 Tl 3.09
13 Hg 0.3300 0.7711 0.4049  2 In 2.88-3.00, 1 Tl 3.09
14 Hg 0.6338 0.0589 0.2289  2 In 2.88-3.00, 1 Tl 3.09
15 Hg 0.1700 0.0951 0.7289  2 In 2.88-3.00, 1 Tl 3.09
16 Tl 0.3750 0.6250 0.2500  8 Hg 3.09-3.33
17 Hg 0.9411 0.3662 0.2711  2 In 2.88-3.00, 1 Tl 3.09
18 Tl 0.2500 0.1250 0.3750  8 Hg 3.09-3.33
19 In 0.5000 0.0000 0.5000  6 Hg 3.00
20 Hg 0.9250 0.0951 0.8662  2 In 2.88-3.00, 1 Tl 3.09
21 Hg 0.1338 0.4049 0.0750  2 In 2.88-3.00, 1 Tl 3.09
22 Hg 0.0750 0.1700 0.4411  2 In 2.88-3.00, 1 Tl 3.09
23 In 0.5000 0.5000 0.0000  6 Hg 3.00
24 In 0.7500 0.1250 0.8750  4 Hg 2.88
25 Tl 0.7500 0.8750 0.6250  8 Hg 3.09-3.33
26 Hg 0.4049 0.2711 0.3300  2 In 2.88-3.00, 1 Tl 3.09
27 Tl 0.2500 0.6250 0.8750  8 Hg 3.09-3.33
28 Hg 0.8662 0.2711 0.4411  2 In 2.88-3.00, 1 Tl 3.09
29 Hg 0.8300 0.9049 0.2711  2 In 2.88-3.00, 1 Tl 3.09
30 Hg 0.3662 0.4250 0.0951  2 In 2.88-3.00, 1 Tl 3.09
31 Hg 0.0951 0.1700 0.2289  2 In 2.88-3.00, 1 Tl 3.09
32 Hg 0.4250 0.3662 0.5951  2 In 2.88-3.00, 1 Tl 3.09
33 Hg 0.5951 0.8662 0.4250  2 In 2.88-3.00, 1 Tl 3.09
34 Hg 0.7289 0.5951 0.1700  2 In 2.88-3.00, 1 Tl 3.09
35 Hg 0.0589 0.6338 0.7289  2 In 2.88-3.00, 1 Tl 3.09
36 In 0.0000 0.0000 0.0000  6 Hg 3.00
37 Tl 0.3750 0.7500 0.6250  8 Hg 3.09-3.33
38 Hg 0.6700 0.2289 0.5951  2 In 2.88-3.00, 1 Tl 3.09
39 In 0.8750 0.6250 0.7500  4 Hg 2.88
40 In 0.0000 0.5000 0.5000  6 Hg 3.00
41 In 0.5000 0.0000 0.0000  6 Hg 3.00
42 In 0.6250 0.8750 0.2500  4 Hg 2.88
43 Hg 0.2289 0.6700 0.0951  2 In 2.88-3.00, 1 Tl 3.09
44 In 0.7500 0.6250 0.3750  4 Hg 2.88
45 Hg 0.0589 0.4250 0.8300  2 In 2.88-3.00, 1 Tl 3.09
46 Hg 0.6338 0.5750 0.9049  2 In 2.88-3.00, 1 Tl 3.09
47 In 0.2500 0.8750 0.1250  4 Hg 2.88
48 In 0.0000 0.5000 0.0000  6 Hg 3.00
49 Tl 0.6250 0.3750 0.7500  8 Hg 3.09-3.33
50 In 0.3750 0.1250 0.7500  4 Hg 2.88
51 Tl 0.1250 0.2500 0.8750  8 Hg 3.09-3.33
52 In 0.8750 0.2500 0.6250  4 Hg 2.88
53 Tl 0.8750 0.1250 0.2500  8 Hg 3.09-3.33
54 Hg 0.7289 0.1338 0.0589  2 In 2.88-3.00, 1 Tl 3.09
55 Hg 0.7711 0.4411 0.3662  2 In 2.88-3.00, 1 Tl 3.09
56 Tl 0.8750 0.7500 0.1250  8 Hg 3.09-3.33
57 In 0.2500 0.3750 0.6250  4 Hg 2.88
58 Hg 0.2711 0.8662 0.9411  2 In 2.88-3.00, 1 Tl 3.09
59 In 0.1250 0.3750 0.2500  4 Hg 2.88
60 Tl 0.1250 0.8750 0.7500  8 Hg 3.09-3.33
61 Hg 0.4049 0.1338 0.5750  2 In 2.88-3.00, 1 Tl 3.09
62 Tl 0.6250 0.2500 0.3750  8 Hg 3.09-3.33
63 Hg 0.4250 0.0589 0.3300  2 In 2.88-3.00, 1 Tl 3.09
64 Hg 0.4411 0.7711 0.8662  2 In 2.88-3.00, 1 Tl 3.09
65 Hg 0.5750 0.9411 0.6700  2 In 2.88-3.00, 1 Tl 3.09
66 Hg 0.6700 0.4411 0.5750  2 In 2.88-3.00, 1 Tl 3.09
67 Tl 0.7500 0.3750 0.1250  8 Hg 3.09-3.33
68 Hg 0.2711 0.4049 0.8300  2 In 2.88-3.00, 1 Tl 3.09
69 In 0.3750 0.2500 0.1250  4 Hg 2.88
70 In 0.6250 0.7500 0.8750  4 Hg 2.88
71 Hg 0.5589 0.3300 0.9250  2 In 2.88-3.00, 1 Tl 3.09
72 Hg 0.9049 0.8300 0.7711  2 In 2.88-3.00, 1 Tl 3.09
73 In 0.5000 0.5000 0.5000  6 Hg 3.00
74 Hg 0.1700 0.0750 0.9411  2 In 2.88-3.00, 1 Tl 3.09
75 Hg 0.9250 0.8300 0.5589  2 In 2.88-3.00, 1 Tl 3.09
76 Hg 0.5750 0.6338 0.4049  2 In 2.88-3.00, 1 Tl 3.09
77 In 0.1250 0.7500 0.3750  4 Hg 2.88
78 In 0.0000 0.0000 0.5000  6 Hg 3.00
79 Hg 0.5951 0.7289 0.6700  2 In 2.88-3.00, 1 Tl 3.09
80 Hg 0.9411 0.5750 0.1700  2 In 2.88-3.00, 1 Tl 3.09